No. 1
VASP calculation (PBE) on a relaxed structure of RbMn2BiAs.

Unit cell a=4.641 b=4.641 c=5.900 alpha=90.00 beta=90.00 gamma=90.00
Positions (direct):
Rb: 0.000 0.000 0.000
Mn: 0.000 0.500 0.500
Mn: 0.500 0.000 0.500
Bi: 0.500 0.500 0.000
As: 0.000 0.000 0.500

Results
Theoretical density, kg/m3: 6262
E_form, eV/atom: 1.1067

=====

No. 2
VASP calculation (PBE) on a relaxed structure of BaAs3Os.

Unit cell a=5.555 b=5.555 c=5.555 alpha=90.00 beta=90.00 gamma=90.00
Positions (direct):
Ba: 0.000 0.000 0.000
As: 0.000 0.000 0.500
As: 0.000 0.500 0.000
As: 0.500 0.000 0.000
Os: 0.500 0.500 0.500

Results
Theoretical density, kg/m3: 5350
E_form, eV/atom: 2.5252

=====

- Which of these has the highest theoretical density?
  RbMn2BiAs

=====

- Number 2 is which compound?
  BaAs3Os

=====

- What is the E_form in the second record?
  2.5252 eV/atom

=====

What did the first record say?
VASP calculation (PBE) on a relaxed structure of RbMn2BiAs.

Unit cell a=4.641 b=4.641 c=5.900 alpha=90.00 beta=90.00 gamma=90.00
Positions (direct):
Rb: 0.000 0.000 0.000
Mn: 0.000 0.500 0.500
Mn: 0.500 0.000 0.500
Bi: 0.500 0.500 0.000
As: 0.000 0.000 0.500

Results
Theoretical density, kg/m3: 6262
E_form, eV/atom: 1.1067